First-principles (PBE-GGA) data for an optimized crystal structure of InAs2Ir, as listed in OQMD via LeMat-Bulk.

Cell and atoms, written as POSCAR:
```
InAs2Ir
1.0
0.000 3.334 3.334
3.334 0.000 3.334
3.334 3.334 0.000
In As Ir
1 2 1
Direct
0.000 0.000 0.000 In
0.500 0.500 0.500 As
0.750 0.750 0.750 As
0.250 0.250 0.250 Ir
```

## Properties
Space group: F-43m, No. 216

=====

First-principles (PBE-GGA) data for an optimized crystal structure of InAsIr, as listed in OQMD via LeMat-Bulk.

Cell and atoms, written as POSCAR:
```
InAsIr
1.0
0.000 3.123 3.123
3.123 0.000 3.123
3.123 3.123 0.000
In As Ir
1 1 1
Direct
0.000 0.000 0.000 In
0.500 0.500 0.500 As
0.750 0.750 0.750 Ir
```

## Properties
Space group: F-43m, No. 216

=====

First-principles (PBE-GGA) data for an optimized crystal structure of In2AsIr, as listed in OQMD via LeMat-Bulk.

Cell and atoms, written as POSCAR:
```
In2AsIr
1.0
0.000 3.394 3.394
3.394 0.000 3.394
3.394 3.394 0.000
In As Ir
2 1 1
Direct
0.000 0.000 0.000 In
0.250 0.250 0.250 In
0.500 0.500 0.500 As
0.750 0.750 0.750 Ir
```

## Properties
Space group: F-43m, No. 216

=====

| no. | final energy (eV per atom) |
| --- | --- |
| 1 | -4.83 |
| 2 | -5.49 |
| 3 | -4.43 |